No. 1
## DyYPt2 (PBE-GGA)

Data for DyYPt2 after structural relaxation.

Computed properties:
Volume: 176.9 Å³ per cell

a b c (Å): 4.508 7.036 5.578
angles (deg): 90.00 90.00 90.00
Fractional coordinates of all 8 atoms:
Dy1 0.000 0.068 0.000
Dy2 0.500 0.932 0.500
Y1 0.000 0.568 0.220
Y2 0.500 0.432 0.720
Pt1 0.000 0.203 0.514
Pt2 0.000 0.708 0.705
Pt3 0.500 0.292 0.205
Pt4 0.500 0.797 0.014

***

No. 2
## TlMoAuS3 (PBE-GGA)

Data for TlMoAuS3 after structural relaxation.

Computed properties:
Volume: 272.4 Å³ per cell

a b c (Å): 7.764 7.764 9.691
angles (deg): 90.00 90.00 152.20
Fractional coordinates of all 12 atoms:
Tl1 0.191 0.809 0.750
Tl2 0.809 0.191 0.250
Mo1 0.500 0.500 0.000
Mo2 0.500 0.500 0.500
Au1 0.153 0.847 0.250
Au2 0.847 0.153 0.750
S1 0.109 0.891 0.020
S2 0.109 0.891 0.480
S3 0.460 0.540 0.250
S4 0.540 0.460 0.750
S5 0.891 0.109 0.520
S6 0.891 0.109 0.980

***

No. 3
## SmScPt (PBE-GGA)

Data for SmScPt after structural relaxation.

Computed properties:
Energy above the lowest structure with this stoichiometry: 202.9 meV per atom
Volume: 72.9 Å³ per cell

a b c (Å): 4.690 4.690 4.690
angles (deg): 60.00 60.00 60.00
Fractional coordinates of all 3 atoms:
Sm1 0.000 0.000 0.000
Sc1 0.250 0.250 0.250
Pt1 0.750 0.750 0.750

***

No. 4
## CuAs5Os3 (PBE-GGA)

Data for CuAs5Os3 after structural relaxation.

Computed properties:
Volume: 183.6 Å³ per cell

a b c (Å): 5.509 5.509 6.986
angles (deg): 90.00 90.00 120.00
Fractional coordinates of all 9 atoms:
Cu1 0.000 0.000 0.000
As1 0.000 0.000 0.500
As2 0.333 0.667 0.219
As3 0.333 0.667 0.781
As4 0.667 0.333 0.219
As5 0.667 0.333 0.781
Os1 0.000 0.500 0.500
Os2 0.500 0.000 0.500
Os3 0.500 0.500 0.500

***

No. 5
## LaErBe2Ge2 (PBE-GGA)

Data for LaErBe2Ge2 after structural relaxation.

Computed properties:
Volume: 114.6 Å³ per cell

a b c (Å): 3.966 3.966 8.412
angles (deg): 90.00 90.00 120.00
Fractional coordinates of all 6 atoms:
La1 0.000 0.000 0.000
Er1 0.000 0.000 0.500
Be1 0.333 0.667 0.736
Be2 0.667 0.333 0.264
Ge1 0.333 0.667 0.267
Ge2 0.667 0.333 0.733

***

No. 6
## ZrNpFe (PBE-GGA)

Data for ZrNpFe after structural relaxation.

Computed properties:
Energy above the lowest structure with this stoichiometry: 0.0 meV per atom
Volume: 58.1 Å³ per cell

a b c (Å): 4.348 4.348 4.348
angles (deg): 60.00 60.00 60.00
Fractional coordinates of all 3 atoms:
Zr1 0.000 0.000 0.000
Np1 0.500 0.500 0.500
Fe1 0.250 0.250 0.250

***

No. 7
## RbTcAgS3 (PBE-GGA)

Data for RbTcAgS3 after structural relaxation.

Computed properties:
Energy above the lowest structure with this stoichiometry: 128.9 meV per atom
Volume: 276.4 Å³ per cell

a b c (Å): 7.779 7.779 9.853
angles (deg): 90.00 90.00 152.38
Fractional coordinates of all 12 atoms:
Rb1 0.246 0.754 0.750
Rb2 0.754 0.246 0.250
Tc1 0.500 0.500 0.000
Tc2 0.500 0.500 0.500
Ag1 0.053 0.947 0.250
Ag2 0.947 0.053 0.750
S1 0.110 0.890 0.021
S2 0.110 0.890 0.479
S3 0.440 0.560 0.250
S4 0.560 0.440 0.750
S5 0.890 0.110 0.521
S6 0.890 0.110 0.979

***

No. 8
## MgBMo2 (PBE-GGA)

Data for MgBMo2 after structural relaxation.

Computed properties:
Volume: 55.0 Å³ per cell

a b c (Å): 4.269 4.269 4.269
angles (deg): 60.00 60.00 60.00
Fractional coordinates of all 4 atoms:
Mg1 0.000 0.000 0.000
B1 0.750 0.750 0.750
Mo1 0.250 0.250 0.250
Mo2 0.500 0.500 0.500

***

No. 9
## KHf4PbC2 (PBE-GGA)

Data for KHf4PbC2 after structural relaxation.

Computed properties:
Volume: 164.0 Å³ per cell

a b c (Å): 3.358 3.358 16.791
angles (deg): 90.00 90.00 120.00
Fractional coordinates of all 8 atoms:
K1 0.000 0.000 0.000
Hf1 0.000 0.000 0.350
Hf2 0.000 0.000 0.650
Hf3 0.667 0.333 0.207
Hf4 0.667 0.333 0.793
Pb1 0.667 0.333 0.500
C1 0.333 0.667 0.279
C2 0.333 0.667 0.721

***

No. 10
## Na3TcH6 (PBE-GGA)

Data for Na3TcH6 after structural relaxation.

Computed properties:
Volume: 111.5 Å³ per cell

a b c (Å): 5.402 5.402 5.402
angles (deg): 60.00 60.00 60.00
Fractional coordinates of all 10 atoms:
Na1 0.000 0.000 0.000
Na2 0.250 0.250 0.250
Na3 0.750 0.750 0.750
Tc1 0.500 0.500 0.500
H1 0.271 0.271 0.729
H2 0.271 0.729 0.271
H3 0.271 0.729 0.729
H4 0.729 0.271 0.271
H5 0.729 0.271 0.729
H6 0.729 0.729 0.271

***

No. 11
## LiTcSnMo (PBE-GGA)

Data for LiTcSnMo after structural relaxation.

Computed properties:
Energy above the lowest structure with this stoichiometry: 0.0 meV per atom
Volume: 62.1 Å³ per cell

a b c (Å): 4.445 4.445 4.445
angles (deg): 60.00 60.00 60.00
Fractional coordinates of all 4 atoms:
Li1 0.000 0.000 0.000
Tc1 0.500 0.500 0.500
Sn1 0.750 0.750 0.750
Mo1 0.250 0.250 0.250

***

No. 12
## Pm2Y2O5 (PBE-GGA)

Data for Pm2Y2O5 after structural relaxation.

Computed properties:
Energy above the lowest structure with this stoichiometry: 0.0 meV per atom
Volume: 153.0 Å³ per cell

a b c (Å): 3.897 3.897 10.073
angles (deg): 90.00 90.00 90.00
Fractional coordinates of all 9 atoms:
Pm1 0.000 0.000 0.240
Pm2 0.000 0.000 0.760
Y1 0.500 0.500 0.000
Y2 0.500 0.500 0.500
O1 0.000 0.000 0.500
O2 0.000 0.500 0.136
O3 0.000 0.500 0.864
O4 0.500 0.000 0.136
O5 0.500 0.000 0.864

***

We obtain energy values of -7.07 -5.04 -5.72 -6.17 -5.00 -9.49 -4.76 -6.89 -8.26 -3.49 -6.86 -8.02 eV/atom for the records listed above, in that order.